DFT (PBE) results for a relaxed YHo2Ga2 crystal.

abc: 7.6715 7.6715 4.2752
angles: 90.00 90.00 90.00
With the nearest neighbours (Å) after each atom.
Positions (direct):
Y: 0.0000 0.0000 0.0000  4 Ga 3.06
Y: 0.5000 0.5000 0.0000  4 Ga 3.06
Ho: 0.1741 0.3259 0.5000  6 Ga 3.09-3.14
Ho: 0.3259 0.8259 0.5000  6 Ga 3.09-3.14
Ho: 0.6741 0.1741 0.5000  6 Ga 3.09-3.14
Ho: 0.8259 0.6741 0.5000  6 Ga 3.09-3.14
Ga: 0.1200 0.6200 0.0000  1 Ga 2.60
Ga: 0.3800 0.1200 0.0000  1 Ga 2.60
Ga: 0.6200 0.8800 0.0000  1 Ga 2.60
Ga: 0.8800 0.3800 0.0000  1 Ga 2.60

Output
* ΔE_f: -0.52 eV per atom
* energy relative to the lowest polymorph listed for this composition: 0.00 eV/f.u.


DFT (PBE) results for a relaxed YHo3Ga2 crystal.

abc: 8.3786 8.3786 8.8608
angles: 116.76 116.76 34.94
With the nearest neighbours (Å) after each atom.
Positions (direct):
Y: 0.1293 0.1293 0.1894  5 Ga 3.03-3.33
Y: 0.8707 0.8707 0.8106  5 Ga 3.03-3.33
Ho: 0.0623 0.0623 0.7169  3 Ga 3.17-3.25, 5 Ho 3.39-3.48, 1 Y 3.53
Ho: 0.3126 0.3126 0.0069  2 Ga 2.86-3.08, 2 Ho 3.18
Ho: 0.3787 0.3787 0.4883  4 Ga 2.82-3.10
Ho: 0.6213 0.6213 0.5117  4 Ga 2.82-3.10
Ho: 0.6874 0.6874 0.9931  2 Ga 2.86-3.08, 2 Ho 3.18
Ho: 0.9377 0.9377 0.2831  3 Ga 3.17-3.25, 5 Ho 3.39-3.48, 1 Y 3.53
Ga: 0.2275 0.2275 0.6143  5 Ho 2.93-3.17
Ga: 0.4850 0.4850 0.8490  1 Ga 2.48
Ga: 0.5150 0.5150 0.1510  1 Ga 2.48
Ga: 0.7725 0.7725 0.3857  5 Ho 2.93-3.17

Output
* ΔE_f: -0.33 eV per atom
* energy relative to the lowest polymorph listed for this composition: 0.61 eV/f.u.


DFT (PBE) results for a relaxed Y4HoGa4 crystal.

abc: 9.0154 9.0154 5.9837
angles: 90.00 90.00 90.00
With the nearest neighbours (Å) after each atom.
Positions (direct):
Y: 0.0638 0.6607 0.1301  5 Ga 2.92-3.12
Y: 0.1607 0.9362 0.6301  5 Ga 2.92-3.12
Y: 0.3393 0.5638 0.6301  5 Ga 2.92-3.12
Y: 0.4362 0.8393 0.1301  5 Ga 2.92-3.12
Y: 0.5638 0.1607 0.8699  5 Ga 2.92-3.12
Y: 0.6607 0.4362 0.3699  5 Ga 2.92-3.12
Y: 0.8393 0.0638 0.3699  5 Ga 2.92-3.12
Y: 0.9362 0.3393 0.8699  5 Ga 2.92-3.12
Ho: 0.2500 0.2500 0.2500  4 Ga 2.82
Ho: 0.7500 0.7500 0.7500  4 Ga 2.82
Ga: 0.0208 0.6202 0.6168  1 Ga 2.61, 1 Ho 2.82, 1 Y 2.92
Ga: 0.1202 0.9792 0.1168  1 Ga 2.61, 1 Ho 2.82, 1 Y 2.92
Ga: 0.3798 0.5208 0.1168  1 Ga 2.61, 1 Ho 2.82, 1 Y 2.92
Ga: 0.4792 0.8798 0.6168  1 Ga 2.61, 1 Ho 2.82, 1 Y 2.92
Ga: 0.5208 0.1202 0.3832  1 Ga 2.61, 1 Ho 2.82, 1 Y 2.92
Ga: 0.6202 0.4792 0.8832  1 Ga 2.61, 1 Ho 2.82, 1 Y 2.92
Ga: 0.8798 0.0208 0.8832  1 Ga 2.61, 1 Ho 2.82, 1 Y 2.92
Ga: 0.9792 0.3798 0.3832  1 Ga 2.61, 1 Ho 2.82, 1 Y 2.92

Output
* ΔE_f: -0.40 eV per atom


DFT (PBE) results for a relaxed Y2HoGa9 crystal.

abc: 4.2748 4.2748 12.8229
angles: 90.00 90.00 90.00
With the nearest neighbours (Å) after each atom.
Positions (direct):
Y: 0.0000 0.0000 0.1672  12 Ga 3.02-3.03
Y: 0.0000 0.0000 0.8328  12 Ga 3.02-3.03
Ho: 0.0000 0.0000 0.5000  12 Ga 3.01-3.02
Ga: 0.0000 0.5000 0.0000  8 Ga 3.02, 4 Y 3.03
Ga: 0.0000 0.5000 0.3345  2 Ho 3.01, 8 Ga 3.01-3.03, 2 Y 3.03
Ga: 0.0000 0.5000 0.6655  2 Ho 3.01, 8 Ga 3.01-3.03, 2 Y 3.03
Ga: 0.5000 0.0000 0.0000  8 Ga 3.02, 4 Y 3.03
Ga: 0.5000 0.0000 0.3345  2 Ho 3.01, 8 Ga 3.01-3.03, 2 Y 3.03
Ga: 0.5000 0.0000 0.6655  2 Ho 3.01, 8 Ga 3.01-3.03, 2 Y 3.03
Ga: 0.5000 0.5000 0.1666  8 Ga 3.02-3.03, 4 Y 3.02
Ga: 0.5000 0.5000 0.5000  8 Ga 3.01, 4 Ho 3.02
Ga: 0.5000 0.5000 0.8334  8 Ga 3.02-3.03, 4 Y 3.02

Output
* ΔE_f: -0.54 eV per atom


DFT (PBE) results for a relaxed YHoGa2 crystal.

abc: 4.0394 5.8562 5.8562
angles: 43.64 90.00 90.00
With the nearest neighbours (Å) after each atom.
Positions (direct):
Y: 0.0000 0.0000 0.0000  7 Ga 3.05-3.21
Ho: 0.5000 0.2785 0.2785  7 Ga 3.04-3.20
Ga: 0.0000 0.7167 0.7167  2 Ga 2.62
Ga: 0.5000 0.5627 0.5627  2 Ga 2.62

Output
* ΔE_f: -0.65 eV per atom


DFT (PBE) results for a relaxed YHo2Ga9 crystal.

abc: 4.2668 4.2668 12.7996
angles: 90.00 90.00 90.00
With the nearest neighbours (Å) after each atom.
Positions (direct):
Y: 0.0000 0.0000 0.0000  12 Ga 3.02-3.03
Ho: 0.0000 0.0000 0.3338  12 Ga 3.01-3.02
Ho: 0.0000 0.0000 0.6662  12 Ga 3.01-3.02
Ga: 0.0000 0.5000 0.1677  8 Ga 3.01-3.03, 2 Ho 3.01, 2 Y 3.03
Ga: 0.0000 0.5000 0.5000  4 Ho 3.01, 8 Ga 3.02
Ga: 0.0000 0.5000 0.8323  8 Ga 3.01-3.03, 2 Ho 3.01, 2 Y 3.03
Ga: 0.5000 0.0000 0.1677  8 Ga 3.01-3.03, 2 Ho 3.01, 2 Y 3.03
Ga: 0.5000 0.0000 0.5000  4 Ho 3.01, 8 Ga 3.02
Ga: 0.5000 0.0000 0.8323  8 Ga 3.01-3.03, 2 Ho 3.01, 2 Y 3.03
Ga: 0.5000 0.5000 0.0000  4 Y 3.02, 8 Ga 3.03
Ga: 0.5000 0.5000 0.3334  8 Ga 3.01-3.02, 4 Ho 3.02
Ga: 0.5000 0.5000 0.6666  8 Ga 3.01-3.02, 4 Ho 3.02

Output
* ΔE_f: -0.53 eV per atom


DFT (PBE) results for a relaxed YHo4Ga15 crystal.

abc: 4.2718 4.2718 21.2675
angles: 90.00 90.00 90.00
With the nearest neighbours (Å) after each atom.
Positions (direct):
Y: 0.0000 0.0000 0.0000  12 Ga 3.02-3.03
Ho: 0.0000 0.0000 0.2005  12 Ga 3.01-3.02
Ho: 0.0000 0.0000 0.4001  12 Ga 3.01-3.02
Ho: 0.0000 0.0000 0.5999  12 Ga 3.01-3.02
Ho: 0.0000 0.0000 0.7995  12 Ga 3.01-3.02
Ga: 0.0000 0.5000 0.1008  8 Ga 3.01-3.03, 2 Ho 3.01, 2 Y 3.03
Ga: 0.0000 0.5000 0.3003  4 Ho 3.01, 8 Ga 3.01-3.02
Ga: 0.0000 0.5000 0.5000  8 Ga 3.01-3.02, 4 Ho 3.01
Ga: 0.0000 0.5000 0.6997  4 Ho 3.01, 8 Ga 3.01-3.02
Ga: 0.0000 0.5000 0.8992  8 Ga 3.01-3.03, 2 Ho 3.01, 2 Y 3.03
Ga: 0.5000 0.0000 0.1008  8 Ga 3.01-3.03, 2 Ho 3.01, 2 Y 3.03
Ga: 0.5000 0.0000 0.3003  4 Ho 3.01, 8 Ga 3.01-3.02
Ga: 0.5000 0.0000 0.5000  8 Ga 3.01-3.02, 4 Ho 3.01
Ga: 0.5000 0.0000 0.6997  4 Ho 3.01, 8 Ga 3.01-3.02
Ga: 0.5000 0.0000 0.8992  8 Ga 3.01-3.03, 2 Ho 3.01, 2 Y 3.03
Ga: 0.5000 0.5000 0.0000  4 Y 3.02, 8 Ga 3.03
Ga: 0.5000 0.5000 0.2002  8 Ga 3.01, 4 Ho 3.02
Ga: 0.5000 0.5000 0.4002  8 Ga 3.01, 4 Ho 3.02
Ga: 0.5000 0.5000 0.5998  8 Ga 3.01, 4 Ho 3.02
Ga: 0.5000 0.5000 0.7998  8 Ga 3.01, 4 Ho 3.02

Output
* ΔE_f: -0.53 eV per atom


DFT (PBE) results for a relaxed YHoGa crystal.

abc: 7.7664 7.7664 7.7664
angles: 26.58 26.58 26.58
With the nearest neighbours (Å) after each atom.
Positions (direct):
Y: 0.0000 0.0000 0.0000  3 Ga 3.09
Ho: 0.7969 0.7969 0.7969  3 Ga 3.06
Ga: 0.2311 0.2311 0.2311  3 Ho 3.06, 3 Y 3.09

Output
* ΔE_f: -0.18 eV per atom
* energy relative to the lowest polymorph listed for this composition: 0.73 eV/f.u.


DFT (PBE) results for a relaxed YHoGa4 crystal.

abc: 5.5037 5.5037 5.5037
angles: 60.00 60.00 60.00
With the nearest neighbours (Å) after each atom.
Positions (direct):
Y: 0.0000 0.0000 0.0000  12 Ga 3.23, 4 Ho 3.37
Ho: 0.2500 0.2500 0.2500  12 Ga 3.23, 4 Y 3.37
Ga: 0.1252 0.6249 0.6249  6 Ga 2.75
Ga: 0.6249 0.1252 0.6249  6 Ga 2.75
Ga: 0.6249 0.6249 0.1252  6 Ga 2.75
Ga: 0.6249 0.6249 0.6249  6 Ga 2.75

Output
* ΔE_f: -0.56 eV per atom
* energy relative to the lowest polymorph listed for this composition: 0.53 eV/f.u.


DFT (PBE) results for a relaxed YHoGa crystal.

abc: 8.3681 8.3681 5.1321
angles: 90.08 90.08 25.45
With the nearest neighbours (Å) after each atom.
Positions (direct):
Y: 0.2223 0.2223 0.2496  2 Ga 3.01, 4 Y 3.28-3.29
Y: 0.7777 0.7777 0.7504  2 Ga 3.01, 4 Y 3.28-3.29
Ho: 0.0763 0.0763 0.7483  6 Ga 3.10-3.16
Ho: 0.9237 0.9237 0.2517  6 Ga 3.10-3.16
Ga: 0.4237 0.4237 0.7527  2 Y 3.01, 6 Ho 3.10-3.16
Ga: 0.5763 0.5763 0.2473  2 Y 3.01, 6 Ho 3.10-3.16

Output
* ΔE_f: -0.39 eV per atom
* energy relative to the lowest polymorph listed for this composition: 0.10 eV/f.u.


DFT (PBE) results for a relaxed YHoGa4 crystal.

abc: 4.2117 4.2117 8.1912
angles: 90.00 90.00 120.00
With the nearest neighbours (Å) after each atom.
Positions (direct):
Y: 0.0000 0.0000 0.0000  12 Ga 3.19
Ho: 0.0000 0.0000 0.5000  12 Ga 3.17
Ga: 0.3333 0.6667 0.2523  3 Ga 2.43
Ga: 0.3333 0.6667 0.7477  3 Ga 2.43
Ga: 0.6667 0.3333 0.2523  3 Ga 2.43
Ga: 0.6667 0.3333 0.7477  3 Ga 2.43

Output
* ΔE_f: -0.65 eV per atom
* energy relative to the lowest polymorph listed for this composition: 0.00 eV/f.u.


DFT (PBE) results for a relaxed YHoGa crystal.

abc: 6.9865 6.9865 6.9865
angles: 151.30 151.30 41.03
With the nearest neighbours (Å) after each atom.
Positions (direct):
Y: 0.0000 0.0000 0.0000  4 Ga 3.11, 4 Y 3.46
Ho: 0.2909 0.2909 0.0000  4 Ga 3.09
Ga: 0.6467 0.6467 0.0000  4 Ho 3.09, 4 Y 3.11

Output
* ΔE_f: -0.39 eV per atom
* energy relative to the lowest polymorph listed for this composition: 0.09 eV/f.u.


| no. | volume (A^3/atom) |
| --- | --- |
| 1 | 25.16 |
| 2 | 26.17 |
| 3 | 27.02 |
| 4 | 19.53 |
| 5 | 23.90 |
| 6 | 19.42 |
| 7 | 19.40 |
| 8 | 27.55 |
| 9 | 19.65 |
| 10 | 25.74 |
| 11 | 20.97 |
| 12 | 26.15 |